An optimized crystal structure of KTaZn. Source: Alexandria via LeMat-Bulk, functional PBE.

## Properties
ΔH_f (0 K) (meV per atom): 1740.8
ρ (g cm⁻³): 5.92
E (eV/atom): -3.00

Cell lengths 6.8415, 6.8415, 6.8415 Å; angles 90.00, 90.00, 90.00 degrees
Space group F-43m (No. 216)
Symmetry-distinct sites (fractional):
1 K 0.0000 0.0000 0.0000 (multiplicity 4)
2 Ta 0.0000 0.0000 0.5000 (multiplicity 4)
3 Zn 0.2500 0.2500 0.2500 (multiplicity 4)